Entry 1:
A geometry-optimized Ac2ScGa3Pd4 structure, computed with PBE.

Lattice parameters (Å, degrees): 4.3771 4.3771 11.1999 90.00 90.00 90.00
Last column: nearest neighbours and their distance in Å.
Space group P-4m2 (No. 115)
Asymmetric unit:
Ac (0.0000, 0.5000, 0.2376) x2  8 Pd 3.36-3.45, 6 Ga 3.36-3.66, 2 Sc 3.66
Sc (0.0000, 0.0000, 0.5000) x1  4 Pd 2.73
Ga (0.0000, 0.5000, 0.8802) x2  5 Pd 2.57-2.62
Ga (0.5000, 0.5000, 0.5000) x1  4 Pd 2.73
Pd (0.0000, 0.0000, 0.0000) x1  4 Ga 2.57
Pd (0.0000, 0.5000, 0.6459) x2  3 Ga 2.62-2.73, 2 Sc 2.73
Pd (0.5000, 0.5000, 0.0000) x1  4 Ga 2.57

Values from the calculation:
Total DFT energy (no corrections) (eV per atom): -5.25
Formation energy (kJ/mol of formula units): -786

***

Entry 2:
A geometry-optimized Ac2ScGaPd6 structure, computed with PBE.

Lattice parameters (Å, degrees): 12.2086 5.7031 8.6567 90.00 132.20 90.00
Last column: nearest neighbours and their distance in Å.
Space group C2/m (No. 12)
Asymmetric unit:
Ac (0.2432, 0.0000, 0.2831) x4  7 Pd 3.14-3.37
Sc (0.0000, 0.0000, 0.5000) x2  6 Pd 2.63-2.68
Ga (0.0000, 0.5000, 0.0000) x2  6 Pd 2.55-2.56
Pd (0.0018, 0.2553, 0.7543) x8  1 Ga 2.56, 1 Sc 2.63, 3 Pd 2.79-2.80
Pd (0.2487, 0.5000, 0.0979) x4  1 Ga 2.55, 1 Sc 2.68, 4 Pd 2.79-2.80

Values from the calculation:
Total DFT energy (no corrections) (eV per atom): -5.58
Formation energy (kJ/mol of formula units): -681

***

Entry 3:
A geometry-optimized Ac2ScGa4Pd3 structure, computed with PBE.

Lattice parameters (Å, degrees): 4.3267 4.3267 11.6749 90.00 90.00 90.00
Last column: nearest neighbours and their distance in Å.
Space group P-4m2 (No. 115)
Asymmetric unit:
Ac (0.0000, 0.5000, 0.2356) x2  4 Pd 3.32, 8 Ga 3.34-3.50
Sc (0.0000, 0.0000, 0.5000) x1  4 Ga 2.78, 4 Pd 3.06
Ga (0.0000, 0.0000, 0.0000) x1  4 Pd 2.62
Ga (0.0000, 0.5000, 0.6495) x2  3 Pd 2.62-2.78, 2 Sc 2.78
Ga (0.5000, 0.5000, 0.0000) x1  4 Pd 2.62
Pd (0.0000, 0.5000, 0.8739) x2  5 Ga 2.62
Pd (0.5000, 0.5000, 0.5000) x1  4 Ga 2.78, 4 Sc 3.06

Values from the calculation:
Total DFT energy (no corrections) (eV per atom): -4.95
Formation energy (kJ/mol of formula units): -697

***

> Among the records above, which one has the highest formation energy?

Ac2ScGaPd6

***

> The highest total DFT energy (no corrections) belongs to which entry?

Ac2ScGa4Pd3

***

> total DFT energy (no corrections) of number 1 (Ac2ScGa3Pd4)?

-5.25 eV per atom

***

Please write out number 1 again, unchanged.
A geometry-optimized Ac2ScGa3Pd4 structure, computed with PBE.

Lattice parameters (Å, degrees): 4.3771 4.3771 11.1999 90.00 90.00 90.00
Last column: nearest neighbours and their distance in Å.
Space group P-4m2 (No. 115)
Asymmetric unit:
Ac (0.0000, 0.5000, 0.2376) x2  8 Pd 3.36-3.45, 6 Ga 3.36-3.66, 2 Sc 3.66
Sc (0.0000, 0.0000, 0.5000) x1  4 Pd 2.73
Ga (0.0000, 0.5000, 0.8802) x2  5 Pd 2.57-2.62
Ga (0.5000, 0.5000, 0.5000) x1  4 Pd 2.73
Pd (0.0000, 0.0000, 0.0000) x1  4 Ga 2.57
Pd (0.0000, 0.5000, 0.6459) x2  3 Ga 2.62-2.73, 2 Sc 2.73
Pd (0.5000, 0.5000, 0.0000) x1  4 Ga 2.57

Values from the calculation:
Total DFT energy (no corrections) (eV per atom): -5.25
Formation energy (kJ/mol of formula units): -786